# 1
PBE TbTl4F7, optimized geometry; crystal system = monoclinic; formation energy (no corrections) = -2940 kJ/mol of formula units
1.0
4.1680 0.0000 -1.3612
-0.9911 5.8608 -3.0347
0.9322 1.8998 9.9162
Tb Tl F
1 4 7
Direct
0.0000 0.0000 0.0000 Tb
0.4053 0.4214 0.8105 Tl
0.5947 0.5786 0.1895 Tl
0.3016 0.8375 0.6033 Tl
0.6984 0.1625 0.3967 Tl
0.0852 0.3025 0.1704 F
0.9148 0.6975 0.8296 F
0.9176 0.1611 0.8352 F
0.0824 0.8389 0.1648 F
0.7229 0.8058 0.4457 F
0.5000 0.0000 0.0000 F
0.2771 0.1942 0.5543 F


# 2
PBE K3NaH4, optimized geometry; crystal system = orthorhombic
1.0
-3.6284 1.2008 -0.5032
-1.3250 -5.4820 -3.5281
-1.2793 -1.1742 6.4219
K Na H
3 1 4
Direct
0.0000 0.0000 0.5000 K
0.5000 0.5000 0.5000 K
0.0000 0.5000 0.0000 K
0.5000 0.0000 0.0000 Na
0.0000 0.2336 0.2336 H
0.5000 0.7627 0.2373 H
0.0000 0.7664 0.7664 H
0.5000 0.2373 0.7627 H


# 3
PBE Tb12YTm7, optimized geometry; crystal system = cubic; formation energy = 0.718 eV/atom
1.0
9.2152 0.0000 -3.2581
-4.6076 7.9806 -3.2581
0.0000 0.0000 9.7742
Tb Y Tm
12 1 7
Direct
0.4932 0.7462 0.7470 Tb
0.9991 0.7462 0.2530 Tb
0.5068 0.2538 0.2530 Tb
0.0009 0.2538 0.7470 Tb
0.7470 0.0009 0.2538 Tb
0.7470 0.4932 0.7462 Tb
0.2530 0.9991 0.7462 Tb
0.2530 0.5068 0.2538 Tb
0.7462 0.7470 0.4932 Tb
0.2538 0.2530 0.5068 Tb
0.7462 0.2530 0.9991 Tb
0.2538 0.7470 0.0009 Tb
0.0000 0.0000 0.0000 Y
0.5000 0.5000 0.0000 Tm
0.0000 0.5000 0.5000 Tm
0.5000 0.0000 0.5000 Tm
0.5000 0.5000 0.5000 Tm
0.0000 0.0000 0.5000 Tm
0.5000 0.0000 0.0000 Tm
0.0000 0.5000 0.0000 Tm


# 4
PBE InSbP, optimized geometry; crystal system = monoclinic; formation energy (no corrections) = 33 kJ/mol of formula units
1.0
-0.6883 3.1435 2.3026
-3.8961 -0.4121 -0.5549
2.8645 -7.7291 6.4020
Sb In P
2 2 2
Direct
0.8068 0.8068 0.5665 Sb
0.1932 0.1932 0.4335 Sb
0.6526 0.6526 0.8657 In
0.3474 0.3474 0.1343 In
0.1389 0.1389 0.8407 P
0.8611 0.8611 0.1593 P


Number 1: VASP energy -57.67 eV for the cell shown, DOS at the Fermi energy 0.0000 states/eV/atom. Number 2: VASP energy -19.48 eV for the cell shown, DOS at the Fermi energy 0.0000 states/eV/atom. Number 3: VASP energy -78.97 eV for the cell shown, DOS at the Fermi energy 1.1730 states/eV/atom. Number 4: VASP energy -23.86 eV for the cell shown, DOS at the Fermi energy 0.4467 states/eV/atom.